## KTlInCl6 (PBE)

Data for crystalline KTlInCl6 at its relaxed geometry.

a = 7.1225 Å, b = 7.1225 Å, c = 13.4445 Å
α = 90.00°, β = 90.00°, γ = 120.00°
Space group P-31c (No. 163)
One atom of each set of equivalent atoms:
K: 0.0000 0.0000 0.0000
Tl: 0.3333 0.6667 0.2500
In: 0.3333 0.6667 0.7500
Cl: 0.0336 0.3854 0.6378

Computed properties:
Energy relative to the elements, uncorrected in eV/f.u.: -10.45
Crystal system: trigonal
Magnetic moment in μB per atom: 0.043



## KTl2InCl5 (PBE)

Data for crystalline KTl2InCl5 at its relaxed geometry.

a = 4.9383 Å, b = 18.3543 Å, c = 12.8395 Å
α = 90.00°, β = 90.00°, γ = 90.00°
Space group Cmc2_1 (No. 36)
One atom of each set of equivalent atoms:
K: 0.0000 0.2109 0.0000
Tl: 0.0000 0.1173 0.6791
Tl: 0.0000 0.1521 0.2969
In: 0.0000 0.4758 0.4387
Cl: 0.0000 0.0387 0.9975
Cl: 0.0000 0.2832 0.6622
Cl: 0.0000 0.3276 0.3535
Cl: 0.0000 0.3772 0.9947
Cl: 0.0000 0.4834 0.7499

Computed properties:
Energy relative to the elements, uncorrected in eV/f.u.: -10.53
Crystal system: orthorhombic
Magnetic moment in μB per atom: 0.000



## KTl2InCl6 (PBE)

Data for crystalline KTl2InCl6 at its relaxed geometry.

a = 7.7461 Å, b = 7.7461 Å, c = 19.0410 Å
α = 90.00°, β = 90.00°, γ = 120.00°
Space group R3 (No. 146, hexagonal axes)
One atom of each set of equivalent atoms:
K: 0.0000 0.0000 0.0000
Tl: 0.0000 0.0000 0.2772
Tl: 0.0000 0.0000 0.7807
In: 0.0000 0.0000 0.4934
Cl: 0.0312 0.4265 0.2324
Cl: 0.0938 0.7094 0.0773

Computed properties:
Energy relative to the elements, uncorrected in eV/f.u.: -12.63
Crystal system: trigonal
Magnetic moment in μB per atom: 0.000



## KTl2In3Cl6 (PBE)

Data for crystalline KTl2In3Cl6 at its relaxed geometry.

a = 7.9033 Å, b = 13.7113 Å, c = 7.9082 Å
α = 90.00°, β = 109.49°, γ = 90.00°
Space group C2/m (No. 12)
One atom of each set of equivalent atoms:
K: 0.0000 0.0000 0.0000
Tl: 0.0000 0.3329 0.0000
In: 0.0000 0.1658 0.5000
In: 0.0000 0.5000 0.5000
Cl: 0.2412 0.0000 0.7472
Cl: 0.2451 0.1631 0.2471

Computed properties:
Energy relative to the elements, uncorrected in eV/f.u.: -12.74
Crystal system: monoclinic
Magnetic moment in μB per atom: 0.000